PmRe3C3 | GGA-PBE | relaxed Values from VASP.

Output
Calculated formation energy in eV per atom: 0.230
N(E_F) in states/eV/cell: 6.5
Space group: R-3 (148)
Raw total energy in eV/atom: -9.737

The structure in Quantum ESPRESSO input format:
```
&SYSTEM
  ibrav = 0, nat = 14, ntyp = 3
/
ATOMIC_SPECIES
Re 186.21 Re.upf
Pm 145.00 Pm.upf
C 12.01 C.upf
CELL_PARAMETERS angstrom
-4.7027 -2.8709 -2.3497
0.7680 -5.2823 -2.7180
-2.3102 -5.8782 4.1708
ATOMIC_POSITIONS crystal
Re 0.8540 0.5833 0.3621
Pm 0.3298 0.3298 0.0107
C 0.5287 0.9266 0.3061
C 0.9266 0.2386 0.3061
C 0.2386 0.5287 0.3061
C 0.7614 0.4713 0.6939
Re 0.4167 0.7994 0.6379
C 0.0734 0.7614 0.6939
Re 0.2006 0.8540 0.3621
Pm 0.6702 0.6702 0.9893
Re 0.1460 0.4167 0.6379
Re 0.5833 0.2006 0.3621
C 0.4713 0.0734 0.6939
Re 0.7994 0.1460 0.6379
```


Pm5Re2C5 | GGA-PBE | relaxed Values from VASP.

Output
Calculated formation energy in eV per atom: -0.056
N(E_F) in states/eV/cell: 9.2
Space group: C2/m (12)
Raw total energy in eV/atom: -7.953

The structure in Quantum ESPRESSO input format:
```
&SYSTEM
  ibrav = 0, nat = 12, ntyp = 3
/
ATOMIC_SPECIES
C 12.01 C.upf
Pm 145.00 Pm.upf
Re 186.21 Re.upf
CELL_PARAMETERS angstrom
3.4766 0.0000 0.0000
-1.7383 6.1083 0.6024
0.0000 -1.9476 9.5840
ATOMIC_POSITIONS crystal
C 0.4270 0.8541 0.2536
Pm 0.3635 0.7271 0.0081
Re 0.0218 0.0436 0.2274
Pm 0.6365 0.2729 0.9919
Pm 0.5000 0.0000 0.5000
C 0.5730 0.1459 0.7464
C 0.0000 0.0000 0.0000
Pm 0.7705 0.5410 0.3361
Re 0.9782 0.9564 0.7726
C 0.8764 0.7528 0.6035
C 0.1236 0.2472 0.3965
Pm 0.2295 0.4590 0.6639
```


Pm3ReC3 | GGA-PBE | relaxed Values from VASP.

Output
Calculated formation energy in eV per atom: -0.261
N(E_F) in states/eV/cell: 5.9
Space group: Cmcm (63)
Raw total energy in eV/atom: -8.028

The structure in Quantum ESPRESSO input format:
```
&SYSTEM
  ibrav = 0, nat = 14, ntyp = 3
/
ATOMIC_SPECIES
C 12.01 C.upf
Re 186.21 Re.upf
Pm 145.00 Pm.upf
CELL_PARAMETERS angstrom
5.3508 0.0000 0.0000
0.0000 6.8546 -1.3067
0.0000 -0.0007 6.9805
ATOMIC_POSITIONS crystal
C 0.2500 0.1743 0.4241
Re 0.7500 0.6944 0.3055
Pm 0.7500 0.1082 0.8917
Pm 0.2500 0.4097 0.1710
C 0.7500 0.4238 0.1741
Pm 0.2500 0.8288 0.5903
C 0.7500 0.8257 0.5759
Pm 0.7500 0.1712 0.4097
Re 0.2500 0.3056 0.6945
C 0.2500 0.1248 0.8751
C 0.7500 0.8752 0.1249
Pm 0.2500 0.8918 0.1083
C 0.2500 0.5762 0.8259
Pm 0.7500 0.5903 0.8290
```